Version 1
MoHI2O | the Alexandria database | PBE+U | relaxed; crystal system = tetragonal; SG = P4/mmm, No. 123; total magnetic moment = 4.28 Bohr magnetons per cell; Fermi-level density of states = 3.2 states/eV/f.u.
1.0
-0.5387 5.4311 -2.5476
-2.9718 1.9803 4.8501
2.5535 0.8285 1.2263
I H Mo O
2 1 1 1
direct
0.0000 0.5000 0.0000 I
0.5000 0.0000 0.0000 I
0.0000 0.0000 0.0000 H
0.5000 0.5000 0.5000 Mo
0.0000 0.0000 0.5000 O


Version 2
MoHI2O | the Alexandria database | PBE+U | relaxed; crystal system = tetragonal; SG = P4/mmm, No. 123; total magnetic moment = 3.00 Bohr magnetons per cell; Fermi-level density of states = 1.8 states/eV/f.u.
1.0
5.8302 0.0000 0.0000
0.0000 5.8302 0.0000
0.0000 0.0000 3.8615
I H Mo O
2 1 1 1
direct
0.0000 0.5000 0.0000 I
0.5000 0.0000 0.0000 I
0.5000 0.5000 0.5000 H
0.0000 0.0000 0.0000 Mo
0.0000 0.0000 0.5000 O


Most stable structure: version 2


Version 1
MoHIO2 | the Alexandria database | PBE+U | relaxed; crystal system = tetragonal; SG = P4/mmm, No. 123; total magnetic moment = 1.95 Bohr magnetons per cell; Fermi-level density of states = 2.9 states/eV/f.u.
1.0
4.2966 0.0000 0.0000
0.0000 4.2966 0.0000
0.0000 0.0000 3.5554
I H Mo O
1 1 1 2
direct
0.0000 0.0000 0.5000 I
0.0000 0.0000 0.0000 H
0.5000 0.5000 0.5000 Mo
0.0000 0.5000 0.0000 O
0.5000 0.0000 0.0000 O


Version 2
MoHIO2 | the Alexandria database | PBE+U | relaxed; crystal system = tetragonal; SG = P4/mmm, No. 123; total magnetic moment = 1.36 Bohr magnetons per cell; Fermi-level density of states = 2.3 states/eV/f.u.
1.0
3.8446 0.0000 0.0000
0.0000 3.8446 0.0000
0.0000 0.0000 5.9486
I H Mo O
1 1 1 2
direct
0.0000 0.0000 0.5000 I
0.5000 0.5000 0.5000 H
0.0000 0.0000 0.0000 Mo
0.0000 0.5000 0.0000 O
0.5000 0.0000 0.0000 O


Most stable structure: version 2